First-principles (GGA+U) data for a relaxed structure of Y2MnS2O2, as listed in Alexandria.

**Volume**: 244 Å³ per cell
**Symmetry**: No. 12
**Total DFT energy (no corrections)**: -7.891 eV per atom

```
Y2MnS2O2
1.0
11.582 0.000 0.000
0.000 3.745 0.000
-3.513 0.000 5.636
Y Mn S O
4 2 4 4
Cartesian
1.442 0.000 1.329 Y
0.836 1.872 4.307 Y
7.233 1.872 1.329 Y
6.627 0.000 4.307 Y
-1.757 0.000 2.818 Mn
4.034 1.872 2.818 Mn
-2.103 1.872 4.715 S
4.381 0.000 0.921 S
3.688 0.000 4.715 S
10.172 1.872 0.921 S
0.261 0.000 3.270 O
2.016 1.872 2.366 O
6.052 1.872 3.270 O
7.807 0.000 2.366 O
```